Compound: GePd2O
Source: Alexandria via LeMat-Bulk
Functional: PBE
Structure: relaxed

abc: 7.085 7.085 7.085
angles: 141.45 141.45 55.65
Fractional coordinates of all 8 atoms:
1 Ge 0.000 0.000 0.000
2 Ge 0.750 0.250 0.500
3 Pd 0.202 0.625 0.077
4 Pd 0.375 0.452 0.577
5 Pd 0.548 0.125 0.923
6 Pd 0.875 0.798 0.423
7 O 0.250 0.750 0.500
8 O 0.500 0.500 0.000

Computed properties:
DFT total energy ... -5.112 eV per atom
Energy above the most stable polymorph in this dataset ... 0.0771 eV per atom
M_tot ... 0.0 μB/f.u.